Arrangement one

BeFe2B: optimized geometry, PBE.

abc: 3.6726 3.6726 3.6726
angles: 60.00 60.00 60.00
Closest atoms and distances in Å follow each position.
Positions (direct):
1 B 0.0000 0.0000 0.0000  4 Be 2.25, 4 Fe 2.25
2 Be 0.2500 0.2500 0.2500  4 B 2.25, 4 Fe 2.25
3 Fe 0.5000 0.5000 0.5000  4 Be 2.25, 4 Fe 2.25
4 Fe 0.7500 0.7500 0.7500  4 B 2.25, 4 Fe 2.25

Properties
The calculation puts the size of the total moment at 0.73 μB/atom.



Arrangement two

BeFe2B: optimized geometry, PBE.

abc: 5.1166 5.1166 5.1166
angles: 90.00 90.00 90.00
Closest atoms and distances in Å follow each position.
Positions (direct):
1 B 0.0000 0.0000 0.0000  8 Fe 2.11
2 B 0.5000 0.0000 0.0000  8 Fe 2.18
3 B 0.0000 0.5000 0.0000  8 Fe 2.18
4 B 0.0000 0.0000 0.5000  8 Fe 2.18
5 Be 0.5000 0.5000 0.0000  8 Fe 2.25
6 Be 0.5000 0.0000 0.5000  8 Fe 2.25
7 Be 0.0000 0.5000 0.5000  8 Fe 2.25
8 Be 0.5000 0.5000 0.5000  8 Fe 2.32, 6 Be 2.56
9 Fe 0.2385 0.2385 0.2385  4 B 2.11-2.18, 4 Be 2.25-2.32
10 Fe 0.7615 0.2385 0.2385  4 B 2.11-2.18, 4 Be 2.25-2.32
11 Fe 0.2385 0.7615 0.2385  4 B 2.11-2.18, 4 Be 2.25-2.32
12 Fe 0.7615 0.7615 0.2385  4 B 2.11-2.18, 4 Be 2.25-2.32
13 Fe 0.2385 0.2385 0.7615  4 B 2.11-2.18, 4 Be 2.25-2.32
14 Fe 0.7615 0.2385 0.7615  4 B 2.11-2.18, 4 Be 2.25-2.32
15 Fe 0.2385 0.7615 0.7615  4 B 2.11-2.18, 4 Be 2.25-2.32
16 Fe 0.7615 0.7615 0.7615  4 B 2.11-2.18, 4 Be 2.25-2.32

Properties
The calculation puts the size of the total moment at 0.52 μB/atom.



Taking the most stable structure as the zero point, the relative energies in eV/atom are arrangement one 0.255; arrangement two 0.000.



Arrangement one

BeFeHgB: optimized geometry, PBE.

abc: 4.0792 4.0792 4.0792
angles: 60.00 60.00 60.00
Closest atoms and distances in Å follow each position.
Positions (direct):
1 B 0.0000 0.0000 0.0000  4 Fe 2.50, 4 Be 2.50
2 Be 0.2500 0.2500 0.2500  4 Hg 2.50, 4 B 2.50
3 Fe 0.7500 0.7500 0.7500  4 Hg 2.50, 4 B 2.50
4 Hg 0.5000 0.5000 0.5000  4 Fe 2.50, 4 Be 2.50

Properties
The calculation puts the size of the total moment at 0.41 μB/atom.



Arrangement two

BeFeHgB: optimized geometry, PBE.

abc: 3.9925 3.9925 3.9925
angles: 60.00 60.00 60.00
Closest atoms and distances in Å follow each position.
Positions (direct):
1 B 0.0000 0.0000 0.0000  4 Fe 2.44, 4 Hg 2.44
2 Be 0.5000 0.5000 0.5000  4 Fe 2.44, 4 Hg 2.44
3 Fe 0.7500 0.7500 0.7500  4 Be 2.44, 4 B 2.44
4 Hg 0.2500 0.2500 0.2500  4 Be 2.44, 4 B 2.44

Properties
The calculation puts the size of the total moment at 0.42 μB/atom.



Taking the most stable structure as the zero point, the relative energies in eV/atom are arrangement one 0.178; arrangement two 0.000.